Ac4Sn8Pt: optimized geometry, PBE.

abc: 4.607 4.712 18.600
angles: 90.00 90.00 90.00
Element x y z (fractional)
Sn: 0.500 0.500 0.754
Ac: 0.000 0.500 0.607
Ac: 0.000 0.000 0.102
Sn: 0.000 0.000 0.460
Pt: 0.000 0.000 0.316
Sn: 0.000 0.500 0.945
Sn: 0.000 0.000 0.748
Sn: 0.500 0.500 0.048
Ac: 0.500 0.000 0.895
Sn: 0.500 0.000 0.239
Sn: 0.500 0.000 0.559
Ac: 0.500 0.500 0.392
Sn: 0.000 0.500 0.239

Calculated values
Total DFT energy (no corrections) (eV/atom): -4.844


AcSnPt4: optimized geometry, PBE.

abc: 5.546 5.546 5.546
angles: 60.00 60.00 60.00
Element x y z (fractional)
Pt: 0.624 0.624 0.127
Pt: 0.624 0.624 0.624
Sn: 0.250 0.250 0.250
Ac: 0.000 0.000 0.000
Pt: 0.127 0.624 0.624
Pt: 0.624 0.127 0.624

Calculated values
E above lowest polymorph (meV/atom): 0


Ac2Sn2Pt3: optimized geometry, PBE.

abc: 4.297 7.919 10.541
angles: 90.00 101.76 90.00
Element x y z (fractional)
Pt: 0.771 0.250 0.542
Pt: 0.563 0.465 0.126
Pt: 0.563 0.035 0.126
Ac: 0.861 0.750 0.721
Pt: 0.229 0.750 0.458
Pt: 0.437 0.965 0.874
Sn: 0.693 0.949 0.386
Sn: 0.307 0.449 0.614
Ac: 0.059 0.750 0.117
Sn: 0.693 0.551 0.386
Pt: 0.437 0.535 0.874
Ac: 0.941 0.250 0.883
Ac: 0.139 0.250 0.279
Sn: 0.307 0.051 0.614

Calculated values
Total DFT energy (no corrections) (eV/atom): -5.882